# DyZr4Rh5

Crystalline DyZr4Rh5 at its relaxed geometry (PBE-GGA, Alexandria via LeMat-Bulk).

a = 3.325 Å, b = 3.325 Å, c = 16.661 Å
α = 90.00°, β = 90.00°, γ = 90.00°
Space group P4/mmm (No. 123)
Unique sites:
Dy 0.000 0.000 0.000
Zr 0.000 0.000 0.205
Zr 0.000 0.000 0.402
Rh 0.500 0.500 0.113
Rh 0.500 0.500 0.305
Rh 0.500 0.500 0.500

## Properties
The total energy comes out at -8.345 eV per atom. For the energy relative to the elements, the calculation gives -0.79 eV/atom.

***

# K2NaGa12Pt3

Crystalline K2NaGa12Pt3 at its relaxed geometry (PBE-GGA, Alexandria via LeMat-Bulk).

a = 9.6489 Å, b = 9.6489 Å, c = 17.4981 Å
α = 90.00°, β = 90.00°, γ = 120.00°
Space group R-3m (No. 166, hexagonal axes)
Unique sites:
K 0.0000 0.0000 0.1021
Na 0.0000 0.0000 0.5000
Ga 0.0063 0.5031 0.1426
Ga 0.0967 0.5483 0.3055
Pt 0.0000 0.5000 0.0000

## Properties
The total energy comes out at -3.315 eV per atom. For the energy relative to the elements, the calculation gives -0.09 eV/atom.

***

Which value of energy relative to the elements does entry 1 give? -0.79 eV/atom

***

Repeat the second record exactly.
# K2NaGa12Pt3

Crystalline K2NaGa12Pt3 at its relaxed geometry (PBE-GGA, Alexandria via LeMat-Bulk).

a = 9.6489 Å, b = 9.6489 Å, c = 17.4981 Å
α = 90.00°, β = 90.00°, γ = 120.00°
Space group R-3m (No. 166, hexagonal axes)
Unique sites:
K 0.0000 0.0000 0.1021
Na 0.0000 0.0000 0.5000
Ga 0.0063 0.5031 0.1426
Ga 0.0967 0.5483 0.3055
Pt 0.0000 0.5000 0.0000

## Properties
The total energy comes out at -3.315 eV per atom. For the energy relative to the elements, the calculation gives -0.09 eV/atom.